Material: La2InGe
Method: DFT, PBE
State: relaxed

The space group is I-42d (No. 122) and the conventional cell measures 8.543, 8.543 and 6.933 Å, with angles of 90.00, 90.00 and 90.00 degrees. The asymmetric unit holds La at (0.219, 0.250, 0.125), In at (0.000, 0.000, 0.500) and Ge at (0.000, 0.000, 0.000).

For the total moment, the calculation gives 0.0 μB/f.u. The calculation puts the formation enthalpy at 0 K at -0.3460 eV/atom. For the density of states at the Fermi level, the calculation gives 4.574 states/eV/f.u.